[1]
Material: TaPS2
Method: DFT, PBE
State: relaxed

Cell and atoms, written as CIF:
```
data_TaPS2
_chemical_formula_sum 'Ta4 P4 S8'
_cell_length_a 5.942
_cell_length_b 5.942
_cell_length_c 9.848
_cell_angle_alpha 90.00
_cell_angle_beta 90.00
_cell_angle_gamma 90.00
_symmetry_space_group_name_H-M 'I -4 2 d'
_symmetry_Int_Tables_number 122
_symmetry_space_group_name_Hall 'I -4 2bw'
loop_
_atom_site_label
_atom_site_type_symbol
_atom_site_fract_x
_atom_site_fract_y
_atom_site_fract_z
_atom_site_occupancy
Ta1 Ta 0.000 0.000 0.000 1
P1 P 0.000 0.000 0.500 1
S1 S 0.225 0.250 0.125 1
```

- crystal system = tetragonal
- raw formation energy (eV per atom) = 0.30

***

[2]
Material: YScAl2In
Method: DFT, PBE
State: relaxed

Cell and atoms, written as CIF:
```
data_YScAl2In
_chemical_formula_sum 'Y1 Sc1 Al2 In1'
_cell_length_a 5.237
_cell_length_b 5.237
_cell_length_c 5.267
_cell_angle_alpha 90.00
_cell_angle_beta 90.00
_cell_angle_gamma 90.00
_symmetry_space_group_name_H-M 'P 4/m m m'
_symmetry_Int_Tables_number 123
_symmetry_space_group_name_Hall '-P 4 2'
loop_
_atom_site_label
_atom_site_type_symbol
_atom_site_fract_x
_atom_site_fract_y
_atom_site_fract_z
_atom_site_occupancy
Y1 Y 0.000 0.000 0.000 1
Sc1 Sc 0.000 0.000 0.500 1
Al1 Al 0.000 0.500 0.500 1
In1 In 0.500 0.500 0.000 1
```

- crystal system = tetragonal
- formation energy from the elements (meV per atom) = 688

***

[3]
Material: La2PmCuO5
Method: DFT, PBE
State: relaxed

Cell and atoms, written as CIF:
```
data_La2PmCuO5
_chemical_formula_sum 'La4 Pm2 Cu2 O10'
_cell_length_a 6.660
_cell_length_b 6.660
_cell_length_c 5.876
_cell_angle_alpha 90.00
_cell_angle_beta 90.00
_cell_angle_gamma 90.00
_symmetry_space_group_name_H-M 'P 4/m b m'
_symmetry_Int_Tables_number 127
_symmetry_space_group_name_Hall '-P 4 2ab'
loop_
_atom_site_label
_atom_site_type_symbol
_atom_site_fract_x
_atom_site_fract_y
_atom_site_fract_z
_atom_site_occupancy
La1 La 0.164 0.336 0.000 1
Pm1 Pm 0.000 0.000 0.500 1
Cu1 Cu 0.000 0.500 0.500 1
O1 O 0.000 0.000 0.000 1
O2 O 0.165 0.665 0.272 1
```

- crystal system = tetragonal
- raw formation energy (eV per atom) = -2.55

***

[4]
Material: LiTbZn2Pt2
Method: DFT, PBE
State: relaxed

Cell and atoms, written as CIF:
```
data_LiTbZn2Pt2
_chemical_formula_sum 'Li1 Tb1 Zn2 Pt2'
_cell_length_a 4.3447
_cell_length_b 4.3447
_cell_length_c 6.5353
_cell_angle_alpha 90.00
_cell_angle_beta 90.00
_cell_angle_gamma 120.00
_symmetry_space_group_name_H-M 'P -3 m 1'
_symmetry_Int_Tables_number 164
_symmetry_space_group_name_Hall '-P 3 2"'
loop_
_atom_site_label
_atom_site_type_symbol
_atom_site_fract_x
_atom_site_fract_y
_atom_site_fract_z
_atom_site_occupancy
Li1 Li 0.0000 0.0000 0.0000 1
Tb1 Tb 0.0000 0.0000 0.5000 1
Zn1 Zn 0.3333 0.6667 0.8274 1
Pt1 Pt 0.3333 0.6667 0.2365 1
```

- crystal system = trigonal
- formation energy from the elements (meV per atom) = -770

***

[5]
Material: KRbBa2Hg
Method: DFT, PBE
State: relaxed

Cell and atoms, written as CIF:
```
data_KRbBa2Hg
_chemical_formula_sum 'K1 Rb1 Ba2 Hg1'
_cell_length_a 6.748
_cell_length_b 6.748
_cell_length_c 7.061
_cell_angle_alpha 90.00
_cell_angle_beta 90.00
_cell_angle_gamma 90.00
_symmetry_space_group_name_H-M 'P 4/m m m'
_symmetry_Int_Tables_number 123
_symmetry_space_group_name_Hall '-P 4 2'
loop_
_atom_site_label
_atom_site_type_symbol
_atom_site_fract_x
_atom_site_fract_y
_atom_site_fract_z
_atom_site_occupancy
K1 K 0.000 0.000 0.000 1
Rb1 Rb 0.500 0.500 0.000 1
Ba1 Ba 0.000 0.500 0.500 1
Hg1 Hg 0.000 0.000 0.500 1
```

- crystal system = tetragonal
- formation energy from the elements (meV per atom) = -97
- excess energy over the best structure of this formula in the dataset (eV/atom) = 0.0000

***

[6]
Material: YRu4Br
Method: DFT, PBE
State: relaxed

Cell and atoms, written as CIF:
```
data_YRu4Br
_chemical_formula_sum 'Y4 Ru16 Br4'
_cell_length_a 7.550
_cell_length_b 7.550
_cell_length_c 7.550
_cell_angle_alpha 90.00
_cell_angle_beta 90.00
_cell_angle_gamma 90.00
_symmetry_space_group_name_H-M 'F -4 3 m'
_symmetry_Int_Tables_number 216
_symmetry_space_group_name_Hall 'F -4 2 3'
loop_
_atom_site_label
_atom_site_type_symbol
_atom_site_fract_x
_atom_site_fract_y
_atom_site_fract_z
_atom_site_occupancy
Y1 Y 0.000 0.000 0.000 1
Ru1 Ru 0.125 0.125 0.375 1
Br1 Br 0.250 0.250 0.750 1
```

- crystal system = cubic
- raw formation energy (eV per atom) = 0.47

***

[7]
Material: Ta3W
Method: DFT, PBE
State: relaxed

Cell and atoms, written as CIF:
```
data_Ta3W
_chemical_formula_sum 'Ta12 W4'
_cell_length_a 6.600
_cell_length_b 9.264
_cell_length_c 4.622
_cell_angle_alpha 90.00
_cell_angle_beta 90.00
_cell_angle_gamma 90.00
_symmetry_space_group_name_H-M 'C m c m'
_symmetry_Int_Tables_number 63
_symmetry_space_group_name_Hall '-C 2c 2'
loop_
_atom_site_label
_atom_site_type_symbol
_atom_site_fract_x
_atom_site_fract_y
_atom_site_fract_z
_atom_site_occupancy
Ta1 Ta 0.000 0.121 0.250 1
Ta2 Ta 0.244 0.375 0.250 1
W1 W 0.000 0.373 0.750 1
```

- crystal system = orthorhombic
- formation energy from the elements (meV per atom) = -46

***

[8]
Material: RbTeBr6
Method: DFT, PBE
State: relaxed

Cell and atoms, written as CIF:
```
data_RbTeBr6
_chemical_formula_sum 'Rb3 Te3 Br18'
_cell_length_a 7.4645
_cell_length_b 7.4645
_cell_length_c 20.4973
_cell_angle_alpha 90.00
_cell_angle_beta 90.00
_cell_angle_gamma 120.00
_symmetry_space_group_name_H-M 'R -3 m'
_symmetry_Int_Tables_number 166
_symmetry_space_group_name_Hall '-R 3 2"'
loop_
_atom_site_label
_atom_site_type_symbol
_atom_site_fract_x
_atom_site_fract_y
_atom_site_fract_z
_atom_site_occupancy
Rb1 Rb 0.0000 0.0000 0.0000 1
Te1 Te 0.0000 0.0000 0.5000 1
Br1 Br 0.0025 0.5013 0.9080 1
```

- crystal system = trigonal
- excess energy over the best structure of this formula in the dataset (eV/atom) = 0.0195
- raw formation energy (eV per atom) = -0.59

***

[9]
Material: Ca2GaPt2
Method: DFT, PBE
State: relaxed

Cell and atoms, written as CIF:
```
data_Ca2GaPt2
_chemical_formula_sum 'Ca4 Ga2 Pt4'
_cell_length_a 3.773
_cell_length_b 3.773
_cell_length_c 16.859
_cell_angle_alpha 90.00
_cell_angle_beta 90.00
_cell_angle_gamma 90.00
_symmetry_space_group_name_H-M 'I 4/m m m'
_symmetry_Int_Tables_number 139
_symmetry_space_group_name_Hall '-I 4 2'
loop_
_atom_site_label
_atom_site_type_symbol
_atom_site_fract_x
_atom_site_fract_y
_atom_site_fract_z
_atom_site_occupancy
Ca1 Ca 0.000 0.000 0.114 1
Ga1 Ga 0.000 0.000 0.500 1
Pt1 Pt 0.000 0.500 0.250 1
```

- crystal system = tetragonal
- formation energy from the elements (meV per atom) = -474

***

[10]
Material: Ho2UIn9
Method: DFT, PBE
State: relaxed

Cell and atoms, written as CIF:
```
data_Ho2UIn9
_chemical_formula_sum 'Ho2 U1 In9'
_cell_length_a 4.619
_cell_length_b 4.619
_cell_length_c 13.920
_cell_angle_alpha 90.00
_cell_angle_beta 90.00
_cell_angle_gamma 90.00
_symmetry_space_group_name_H-M 'P 4/m m m'
_symmetry_Int_Tables_number 123
_symmetry_space_group_name_Hall '-P 4 2'
loop_
_atom_site_label
_atom_site_type_symbol
_atom_site_fract_x
_atom_site_fract_y
_atom_site_fract_z
_atom_site_occupancy
Ho1 Ho 0.000 0.000 0.166 1
U1 U 0.000 0.000 0.500 1
In1 In 0.000 0.500 0.000 1
In2 In 0.000 0.500 0.333 1
In3 In 0.500 0.500 0.167 1
In4 In 0.500 0.500 0.500 1
```

- crystal system = tetragonal
- formation energy from the elements (meV per atom) = -266

***

Number 1: N(E_F) 12.114 states/eV per cell, VASP energy -6.08 eV per atom, size of the total moment 0.0 Bohr magnetons per cell. Number 2: N(E_F) 6.093 states/eV per cell, VASP energy -3.92 eV per atom, size of the total moment 0.5 Bohr magnetons per cell. Number 3: N(E_F) 4.071 states/eV per cell, VASP energy -7.38 eV per atom, size of the total moment 0.1 Bohr magnetons per cell. Number 4: N(E_F) 2.834 states/eV per cell, VASP energy -4.30 eV per atom, size of the total moment 0.0 Bohr magnetons per cell. Number 5: N(E_F) 5.108 states/eV per cell, VASP energy -1.34 eV per atom, size of the total moment 0.0 Bohr magnetons per cell. Number 6: N(E_F) 33.621 states/eV per cell, VASP energy -7.07 eV per atom, size of the total moment 17.6 Bohr magnetons per cell. Number 7: N(E_F) 19.124 states/eV per cell, VASP energy -12.17 eV per atom, size of the total moment 0.0 Bohr magnetons per cell. Number 8: N(E_F) 17.603 states/eV per cell, VASP energy -2.35 eV per atom, size of the total moment 0.0 Bohr magnetons per cell. Number 9: N(E_F) 6.163 states/eV per cell, VASP energy -4.30 eV per atom, size of the total moment 0.0 Bohr magnetons per cell. Number 10: N(E_F) 10.071 states/eV per cell, VASP energy -4.02 eV per atom, size of the total moment 2.6 Bohr magnetons per cell.